No. 1
Material: NaB3H6
Method: DFT, PBE
State: relaxed

a = 8.1548 Å, b = 8.1548 Å, c = 4.1970 Å
α = 90.00°, β = 90.00°, γ = 120.00°
Space group R3m (No. 160, hexagonal axes)
Unique sites:
Na 0.0000 0.0000 0.0000 [3 per cell]
B 0.0280 0.5140 0.2784 [9 per cell]
H 0.0826 0.1652 0.4619 [9 per cell]
H 0.1777 0.3555 0.8849 [9 per cell]

Summary:
density = 1.267 g/cm3
magnetization = 0.000 μB per atom
D(E_F) = 0.25 states/eV per atom

No. 2
Material: NaBH4
Method: DFT, PBE
State: relaxed

a = 4.420 Å, b = 4.338 Å, c = 7.263 Å
α = 90.00°, β = 97.89°, γ = 90.00°
Space group Pm (No. 6)
Unique sites:
Na 0.000 0.000 0.000 [1 per cell]
Na 0.031 0.000 0.507 [1 per cell]
B 0.573 0.000 0.219 [1 per cell]
B 0.984 0.500 0.745 [1 per cell]
H 0.137 0.500 0.899 [1 per cell]
H 0.163 0.500 0.629 [1 per cell]
H 0.334 0.000 0.287 [1 per cell]
H 0.512 0.000 0.049 [1 per cell]
H 0.717 0.236 0.266 [2 per cell]
H 0.814 0.276 0.725 [2 per cell]

Summary:
density = 0.911 g/cm3
magnetization = 0.000 μB per atom
D(E_F) = 0.00 states/eV per atom

No. 3
Material: NaBH6
Method: DFT, PBE
State: relaxed

a = 6.573 Å, b = 3.782 Å, c = 4.713 Å
α = 90.00°, β = 117.62°, γ = 90.00°
Space group C2/m (No. 12)
Unique sites:
Na 0.000 0.000 0.000 [2 per cell]
B 0.000 0.500 0.500 [2 per cell]
H 0.116 0.500 0.326 [4 per cell]
H 0.144 0.239 0.671 [8 per cell]

Summary:
density = 1.275 g/cm3
magnetization = 0.000 μB per atom
D(E_F) = 0.17 states/eV per atom

| no. | V (A^3/atom) | uncorrected energy (eV/atom) |
| --- | --- | --- |
| 1 | 8.057 | -3.5649 |
| 2 | 11.495 | -3.8887 |
| 3 | 6.487 | -3.2450 |